Entry 1:
The following is a PBE calculation of a relaxed structure of TaRe2Se, from Alexandria via LeMat-Bulk.

Output
The calculation puts the raw formation energy at 0.213 eV/atom. The space group is Pm (6). For the energy, the calculation gives -9.85 eV/atom. The density of states at the Fermi level comes out at 3.6 states/eV/f.u.

```
TaRe2Se
1.0
4.0707 0.0000 0.0000
0.0000 2.9318 0.0018
0.0000 1.3274 5.3884
Re Se Ta
2 1 1
Cartesian
0.0000 0.2193 0.0612 Re
2.0354 1.5193 1.2297 Re
0.0000 1.5906 2.8630 Se
2.0354 3.0597 3.9315 Ta
```

Entry 2:
The following is a PBE calculation of a relaxed structure of K2BaSrCl6, from Alexandria via LeMat-Bulk.

Output
The calculation puts the raw formation energy at -2.269 eV/atom. The space group is P2_1/c (14). For the energy, the calculation gives -3.96 eV/atom. The density of states at the Fermi level comes out at 0.0 states/eV/f.u.

```
K2BaSrCl6
1.0
7.7361 0.0000 -0.0540
0.0000 8.1362 0.0000
-0.0096 0.0000 11.0303
K Ba Sr Cl
4 2 2 12
Cartesian
0.1988 7.5646 2.7594 K
4.0620 4.6397 8.2476 K
7.5277 0.5717 8.2169 K
3.6645 3.4965 2.7288 K
3.8681 0.0000 -0.0270 Ba
-0.0048 4.0681 5.5152 Ba
3.8632 0.0000 5.4882 Sr
0.0000 4.0681 0.0000 Sr
2.2988 5.6348 0.7902 Cl
6.1621 6.5695 6.2783 Cl
5.4277 2.5014 10.1862 Cl
1.5644 1.5667 4.6980 Cl
2.4228 5.7449 4.6480 Cl
6.2860 6.4595 10.1361 Cl
5.3037 2.3914 6.3284 Cl
1.4405 1.6767 0.8402 Cl
6.6510 4.6021 2.6109 Cl
2.7781 7.6022 8.1530 Cl
1.0756 3.5341 8.3655 Cl
4.9484 0.5340 2.8234 Cl
```

Entry 3:
The following is a PBE calculation of a relaxed structure of SmPa4As5, from Alexandria via LeMat-Bulk.

Output
The formation energy comes out at -1.15 eV/atom. The space group is C2/m (12). For the energy, the calculation gives -7.74 eV/atom. The density of states at the Fermi level comes out at 11.7 states/eV/f.u.

```
SmPa4As5
1.0
0.2468 4.0840 -0.3741
-1.5316 2.7444 6.3887
8.1827 1.9162 3.7567
Sm Pa As
1 4 5
Cartesian
0.0000 0.0000 0.0000 Sm
4.7546 4.1508 3.3294 Pa
1.1107 2.2941 3.2164 Pa
5.7873 6.4505 6.5549 Pa
2.1434 4.5938 6.4420 Pa
4.3706 4.6304 8.3112 As
2.5274 4.1142 1.4602 As
6.9824 4.1881 5.2053 As
3.3256 2.3303 5.0727 As
-0.0844 4.5566 4.5661 As
```

Entry 4:
The following is a PBE calculation of a relaxed structure of Na4Ho3MgTe8, from Alexandria via LeMat-Bulk.

Output
The calculation puts the raw formation energy at -1.146 eV/atom. The space group is R-3m (166). For the energy, the calculation gives -4.00 eV/atom. The density of states at the Fermi level comes out at 4.9 states/eV/f.u.

```
Na4Ho3MgTe8
1.0
-8.4301 -1.7456 1.1752
1.9706 -4.2021 7.8945
2.6280 8.2120 -1.0706
Na Ho Mg Te
4 3 1 8
Cartesian
-4.2151 -0.8728 0.5876 Na
-2.9010 3.2332 0.0523 Na
0.0000 0.0000 0.0000 Na
1.3140 4.1060 -0.5353 Na
-3.2297 -2.9738 4.5348 Ho
-1.9157 1.1322 3.9995 Ho
2.2993 2.0050 3.4119 Ho
0.9853 -2.1010 3.9472 Mg
2.0048 4.6332 4.9699 Te
0.6714 0.4700 5.5140 Te
-0.2848 2.6306 1.8642 Te
-2.2714 3.7478 5.5660 Te
-1.5601 -1.4835 2.4331 Te
-3.5466 -0.3662 6.1349 Te
-4.5028 1.7943 2.4850 Te
-5.8362 -2.3689 3.0292 Te
```

Entry 5:
The following is a PBE calculation of a relaxed structure of Ac2Os2O7, from Alexandria via LeMat-Bulk.

Output
For the energy above the most stable polymorph in this dataset, the calculation gives 0.00 kcal/mol of atoms. The calculation puts the raw formation energy at -1.996 eV/atom. The space group is C2/m (12). For the energy, the calculation gives -7.94 eV/atom. The density of states at the Fermi level comes out at 0.0 states/eV/f.u.

```
Ac2Os2O7
1.0
4.3305 -0.4861 -0.7015
-0.9443 6.9342 -0.5869
-0.9443 -2.9846 6.2865
Ac Os O
2 2 7
Cartesian
1.2209 -0.0181 3.7116 Ac
1.2209 3.4816 1.2865 Ac
2.9345 0.2322 0.3351 Os
-0.4926 3.2313 4.6630 Os
-0.7157 4.4633 3.1433 O
3.1576 2.0877 -0.2848 O
3.1576 -0.9998 1.8548 O
-0.7157 1.3758 5.2829 O
0.0000 0.0000 0.0000 O
1.7445 1.0827 1.5625 O
0.6974 2.3808 3.4356 O
```

Entry 6:
The following is a PBE calculation of a relaxed structure of PuCd2Ag, from Alexandria via LeMat-Bulk.

Output
The formation energy comes out at 0.03 eV/atom. The space group is R3m (160). For the energy, the calculation gives -4.73 eV/atom. The density of states at the Fermi level comes out at 7.1 states/eV/f.u.

```
PuCd2Ag
1.0
-2.2118 -0.6011 -2.1193
-2.4009 -1.8567 0.7301
-6.9576 7.4783 2.8338
Pu Cd Ag
1 2 1
Cartesian
-5.7843 2.5137 0.7239 Pu
-5.7164 5.5782 2.0788 Cd
-2.7808 1.0803 0.2915 Cd
-10.0315 5.8367 1.9064 Ag
```

Which of these has the lowest energy?
TaRe2Se